(1)
A relaxed structure of Tb2Sm3In4. Source: the Alexandria database, functional GGA-PBE.

POSCAR file:
```
Tb2Sm3In4
1.0
3.581 -7.796 0.000
3.581 7.796 0.000
0.000 0.000 9.851
Tb Sm In
4 6 8
Cartesian
3.581 6.153 9.427
3.581 1.643 4.502
3.581 -1.643 5.349
3.581 -6.153 0.424
0.000 0.000 4.925
1.790 3.469 7.388
1.790 -3.469 2.463
3.581 0.000 0.000
5.371 3.469 7.388
5.371 -3.469 2.463
3.581 4.755 5.112
1.790 0.198 7.388
1.790 -0.198 2.463
3.581 3.041 0.187
3.581 -3.041 9.664
5.371 0.198 7.388
5.371 -0.198 2.463
3.581 -4.755 4.739
```

Its symmetry is Cmce (64). The calculation puts the total magnetization at 0.00 μB per formula unit. The calculation puts the formation enthalpy at 0 K at -251.7 meV per atom. The calculation puts the excess energy over the best structure of this formula in the dataset at 164.8 meV per atom. The density of states at the Fermi level is 6.3 states/eV/f.u. The total energy is -4.071 eV per atom.

(2)
A relaxed structure of ThPaZn2. Source: the Alexandria database, functional GGA-PBE.

POSCAR file:
```
ThPaZn2
1.0
3.564 0.000 0.000
0.000 3.564 0.000
0.000 0.000 7.319
Th Pa Zn
1 1 2
Cartesian
0.000 0.000 0.000
0.000 0.000 3.660
1.782 1.782 1.910
1.782 1.782 5.409
```

Its symmetry is P4/mmm (123). The calculation puts the total magnetization at 0.77 μB per formula unit. The calculation puts the formation enthalpy at 0 K at 9.2 meV per atom. The calculation puts the excess energy over the best structure of this formula in the dataset at 23.8 meV per atom. The density of states at the Fermi level is 5.8 states/eV/f.u. The total energy is -4.857 eV per atom.

(3)
A relaxed structure of LiDyAu2. Source: the Alexandria database, functional GGA-PBE.

POSCAR file:
```
LiDyAu2
1.0
4.765 0.000 0.000
0.000 4.765 0.000
0.000 0.000 3.605
Li Dy Au
1 1 2
Cartesian
0.000 0.000 0.000
2.382 2.382 0.000
0.000 2.382 1.802
2.382 0.000 1.802
```

Its symmetry is P4/mmm (123). The calculation puts the total magnetization at 0.00 μB per formula unit. The calculation puts the formation enthalpy at 0 K at -658.5 meV per atom. The calculation puts the excess energy over the best structure of this formula in the dataset at 63.1 meV per atom. The density of states at the Fermi level is 2.0 states/eV/f.u. The total energy is -3.926 eV per atom.

(4)
A relaxed structure of Ba3Na2Mg2Tl4. Source: the Alexandria database, functional GGA-PBE.

POSCAR file:
```
Ba3Na2Mg2Tl4
1.0
5.456 0.000 0.000
-2.728 4.725 0.000
0.000 0.000 15.666
Ba Na Mg Tl
3 2 2 4
Cartesian
0.000 0.000 0.000
0.000 0.000 4.158
0.000 0.000 11.508
0.000 3.150 8.809
2.728 1.575 6.857
0.000 3.150 2.285
2.728 1.575 13.381
0.000 3.150 5.540
0.000 3.150 13.566
2.728 1.575 2.100
2.728 1.575 10.126
```

Its symmetry is P-3m1 (164). The calculation puts the total magnetization at 0.00 μB per formula unit. The calculation puts the formation enthalpy at 0 K at -173.5 meV per atom. The density of states at the Fermi level is 7.7 states/eV/f.u. The total energy is -2.088 eV per atom.

(5)
A relaxed structure of SmY3Co8. Source: the Alexandria database, functional GGA-PBE.

POSCAR file:
```
SmY3Co8
1.0
2.549 1.472 8.325
-2.549 1.472 8.325
0.000 -2.943 8.325
Sm Y Co
1 3 8
Cartesian
0.000 0.000 0.000
0.000 0.000 3.125
0.000 0.000 12.492
0.000 0.000 15.612
0.000 -1.464 5.709
-1.268 0.732 5.709
-1.270 -0.733 9.906
0.000 0.000 7.803
1.268 0.732 5.709
1.270 -0.733 9.906
0.000 1.467 9.906
0.000 0.000 20.296
```

Its symmetry is R3m (160). The calculation puts the total magnetization at 7.57 μB per formula unit. The calculation puts the formation enthalpy at 0 K at -156.8 meV per atom. The density of states at the Fermi level is 16.0 states/eV/f.u. The total energy is -6.903 eV per atom.

(6)
A relaxed structure of LaTbCu2. Source: the Alexandria database, functional GGA-PBE.

POSCAR file:
```
LaTbCu2
1.0
3.550 0.000 0.000
0.000 3.550 0.000
0.000 0.000 7.200
La Tb Cu
1 1 2
Cartesian
0.000 0.000 0.000
0.000 0.000 3.600
1.775 1.775 1.996
1.775 1.775 5.205
```

Its symmetry is P4/mmm (123). The calculation puts the total magnetization at 0.00 μB per formula unit. The calculation puts the formation enthalpy at 0 K at -189.0 meV per atom. The calculation puts the excess energy over the best structure of this formula in the dataset at 4.9 meV per atom. The density of states at the Fermi level is 2.7 states/eV/f.u. The total energy is -4.627 eV per atom.

(7)
A relaxed structure of CeLu2Hg. Source: the Alexandria database, functional GGA-PBE.

POSCAR file:
```
CeLu2Hg
1.0
4.807 0.000 0.000
0.000 4.807 0.000
0.000 0.000 4.644
Ce Lu Hg
1 2 1
Cartesian
0.000 0.000 0.000
0.000 2.403 2.322
2.403 0.000 2.322
2.403 2.403 0.000
```

Its symmetry is P4/mmm (123). The calculation puts the total magnetization at 1.81 μB per formula unit. The calculation puts the formation enthalpy at 0 K at -103.2 meV per atom. The calculation puts the excess energy over the best structure of this formula in the dataset at 87.2 meV per atom. The density of states at the Fermi level is 6.0 states/eV/f.u. The total energy is -3.923 eV per atom.

(8)
A relaxed structure of Sb2PbF. Source: the Alexandria database, functional GGA-PBE.

POSCAR file:
```
Sb2PbF
1.0
-2.070 2.070 12.512
2.070 -2.070 12.512
2.070 2.070 -12.512
Sb Pb F
4 2 2
Cartesian
3.105 1.034 -3.128
1.034 1.035 3.128
-1.035 1.036 9.384
1.036 1.035 15.639
0.000 0.000 0.000
0.000 2.070 6.256
2.070 0.000 6.256
0.000 0.000 12.512
```

Its symmetry is I-42d (122). The calculation puts the total magnetization at 0.00 μB per formula unit. The calculation puts the excess energy over the best structure of this formula in the dataset at 0.0 meV per atom. The density of states at the Fermi level is 1.8 states/eV/f.u. The total energy is -3.998 eV per atom.